Compound: PmDyMgAg
Source: Alexandria
Functional: PBE-GGA
Structure: relaxed

abc: 7.504 7.504 7.504
angles: 90.00 90.00 90.00
Atoms (fractional coordinates):
Pm 0.000 0.000 0.000
Pm 0.000 0.500 0.500
Pm 0.500 0.000 0.500
Pm 0.500 0.500 0.000
Dy 0.000 0.000 0.500
Dy 0.000 0.500 0.000
Dy 0.500 0.000 0.000
Dy 0.500 0.500 0.500
Mg 0.250 0.250 0.750
Mg 0.250 0.750 0.250
Mg 0.750 0.250 0.250
Mg 0.750 0.750 0.750
Ag 0.250 0.250 0.250
Ag 0.250 0.750 0.750
Ag 0.750 0.250 0.750
Ag 0.750 0.750 0.250

Values from the calculation:
- DFT formation energy (kJ/mol of atoms) = -13.5
- space group = F-43m, No. 216